No. 1
DFT (GGA-PBE) results for an optimized crystal structure of Cs2AgBr.

The structure in POSCAR format:
```
Cs2AgBr
1.0
-0.5294 5.5833 6.4426
4.0658 -5.5083 5.1076
8.8206 3.2216 3.5952
Cs Br Ag
4 2 2
direct
0.6074 0.1250 0.2500 Cs
0.1426 0.6250 0.2500 Cs
0.8750 0.8574 0.7500 Cs
0.3750 0.3926 0.7500 Cs
0.2500 0.7500 0.5000 Br
0.5000 0.5000 0.0000 Br
0.0000 0.0000 0.0000 Ag
0.7500 0.2500 0.5000 Ag
```

Properties
N(E_F) ... 0.0 states/eV/f.u.
E ... -2.3156 eV per atom
Density ... 2.6 g/cm3
Symmetry ... I-42d
Formation energy (no corrections) ... -0.758 eV/atom
Offset from the most stable computed form ... 109 meV/atom
Total moment ... 0.0 μB/f.u.


No. 2
DFT (GGA-PBE) results for an optimized crystal structure of Mg3TlPb3.

The structure in POSCAR format:
```
Mg3TlPb3
1.0
-5.6904 -1.0742 -2.6664
2.9380 -5.4958 1.0250
-0.7640 3.0131 5.4976
Pb Mg Tl
3 3 1
direct
0.4979 0.5022 0.5022 Pb
0.9957 0.0000 0.4978 Pb
0.9957 0.4978 0.0000 Pb
0.9972 0.5025 0.5025 Mg
0.4947 0.4975 0.0000 Mg
0.4947 0.0000 0.4975 Mg
0.4991 0.0000 0.0000 Tl
```

Properties
N(E_F) ... 2.7 states/eV/f.u.
E ... -2.6170 eV per atom
Density ... 7.6 g/cm3
Symmetry ... R3m
Formation enthalpy at 0 K ... -6 meV per atom
Offset from the most stable computed form ... 0 meV/atom
Total moment ... 0.0 μB/f.u.